(1)
Compound: MnFeHRu2
Source: Alexandria via LeMat-Bulk
Functional: PBE
Structure: optimized geometry

```
MnFeHRu2
1.0
-3.116 2.150 0.378
-0.665 -1.561 3.405
2.018 2.642 1.605
Ru H Mn Fe
2 1 1 1
direct
0.000 0.500 0.000
0.500 0.000 0.000
0.000 0.000 0.000
0.000 0.000 0.500
0.500 0.500 0.500
```

Values from the calculation:
Relative energy among the computed polymorphs in meV/atom: 118.1
Magnetization in μB/f.u.: 2.94
Uncorrected energy in eV per atom: -7.7577
Space group: P4/mmm
N(E_F) in states/eV/f.u.: 6.16
Crystal system: tetragonal

(2)
Compound: MnFeHS2
Source: Alexandria via LeMat-Bulk
Functional: PBE
Structure: optimized geometry

```
MnFeHS2
1.0
-0.643 -3.511 -2.876
2.136 -1.788 1.705
-3.407 -1.545 2.648
S H Fe Mn
2 1 1 1
direct
0.500 0.000 0.000
0.000 0.000 0.500
0.000 0.500 0.000
0.500 0.500 0.500
0.000 0.000 0.000
```

Values from the calculation:
Magnetization in μB/f.u.: 6.97
Uncorrected energy in eV per atom: -5.6889
Space group: P4/mmm
N(E_F) in states/eV/f.u.: 4.75
Crystal system: tetragonal